1.
Material: K2TcAs
Method: DFT, PBEsol
State: relaxed

```
4
Lattice="4.495 0.000 0.000 0.000 4.495 0.000 0.000 0.000 5.140" Properties=species:S:1:pos:R:3 pbc="T T T"
K 0.000 0.000 1.281
K 0.000 0.000 3.859
Tc 2.247 2.247 2.570
As 2.247 2.247 0.000
```

## Properties
Formation enthalpy at 0 K   0.8787 eV/atom
Crystal system   tetragonal
Calculated density   4.02 g/cm3
VASP energy   -3.781 eV/atom
Total magnetic moment   0.5369 μB per atom



2.
Material: KTc4As
Method: DFT, PBEsol
State: relaxed

```
6
Lattice="0.000 3.687 3.687 3.687 0.000 3.687 3.687 3.687 0.000" Properties=species:S:1:pos:R:3 pbc="T T T"
K 0.000 0.000 0.000
Tc 2.777 2.777 2.777
Tc 4.596 4.596 2.777
Tc 4.596 2.777 4.596
Tc 2.777 4.596 4.596
As 5.530 5.530 5.530
```

## Properties
Formation enthalpy at 0 K   0.9825 eV/atom
Crystal system   cubic
Calculated density   8.38 g/cm3
VASP energy   -7.568 eV/atom
Total magnetic moment   0.0001 μB per atom



3.
Material: KTe2As
Method: DFT, PBEsol
State: relaxed

```
4
Lattice="-2.238 2.238 5.313 2.238 -2.238 5.313 2.238 2.238 -5.313" Properties=species:S:1:pos:R:3 pbc="T T T"
K 0.000 0.000 0.000
Te 0.000 0.000 5.313
Te 0.000 2.238 2.657
As 2.238 0.000 2.657
```

## Properties
Crystal system   tetragonal
Calculated density   5.76 g/cm3
ΔE_f (raw)   -0.01 eV/atom
VASP energy   -3.337 eV/atom
Total magnetic moment   0.0000 μB per atom



4.
Material: KTe2As
Method: DFT, PBEsol
State: relaxed

```
4
Lattice="-1.955 2.759 5.250 1.955 -2.759 5.250 1.955 2.759 -5.250" Properties=species:S:1:pos:R:3 pbc="T T T"
K 0.000 0.000 0.000
Te 1.955 0.000 3.037
Te 0.000 0.000 5.609
As 0.000 2.759 2.309
```

## Properties
Crystal system   orthorhombic
Calculated density   5.41 g/cm3
ΔE_f (raw)   -0.20 eV/atom
VASP energy   -3.523 eV/atom
Total magnetic moment   0.0000 μB per atom



5.
Material: KTe2As
Method: DFT, PBEsol
State: relaxed

```
4
Lattice="3.287 0.000 0.000 0.000 4.160 0.000 -0.018 0.000 8.599" Properties=species:S:1:pos:R:3 pbc="T T T"
K 0.000 0.000 0.000
Te 1.629 2.080 6.266
Te 1.641 2.080 2.334
As 1.635 0.000 4.300
```

## Properties
Crystal system   monoclinic
Calculated density   5.21 g/cm3
ΔE_f (raw)   -0.28 eV/atom
VASP energy   -3.600 eV/atom
Total magnetic moment   0.0000 μB per atom



6.
Material: KTe2As
Method: DFT, PBEsol
State: relaxed

```
4
Lattice="6.720 -2.018 0.000 6.720 2.018 0.000 -1.442 0.000 5.220" Properties=species:S:1:pos:R:3 pbc="T T T"
K 0.000 0.000 0.000
Te 5.563 0.000 2.488
Te 8.450 0.000 4.863
As 3.222 0.000 1.495
```

## Properties
Crystal system   monoclinic
Calculated density   4.33 g/cm3
ΔE_f (raw)   -0.30 eV/atom
VASP energy   -3.625 eV/atom
Total magnetic moment   0.0000 μB per atom